(1)
Material: LaPmAu
Method: DFT, GGA-PBE
State: optimized geometry

Summary:
- space-group type = I4mm, No. 107
- volume (A^3/atom) = 29.84
- DFT formation energy (eV per atom) = -0.49
- density of states at the Fermi level (states/eV per atom) = 1.385
- uncorrected energy (eV per formula unit) = -14.43

abc: 3.756 3.756 6.878
angles: 105.85 105.85 90.00
Sites, in units of the cell vectors:
La: 0.597 0.597 0.194
Au: 0.943 0.943 0.886
Pm: 0.310 0.310 0.620

(2)
Material: Y2Tm2Sc5
Method: DFT, GGA-PBE
State: optimized geometry

Summary:
- space-group type = Ima2, No. 46
- volume (A^3/atom) = 27.93
- DFT formation energy (eV per atom) = 0.20
- density of states at the Fermi level (states/eV per atom) = 1.529
- uncorrected energy (eV per formula unit) = -51.77

abc: 8.270 10.517 8.840
angles: 126.50 117.89 90.00
Sites, in units of the cell vectors:
Y: 0.521 0.874 0.789
Sc: 0.434 0.156 0.748
Sc: 0.990 0.282 0.500
Sc: 0.186 0.909 0.252
Sc: 0.814 0.656 0.748
Sc: 0.907 0.380 0.197
Tm: 0.359 0.424 0.500
Sc: 0.010 0.782 0.500
Tm: 0.500 0.543 0.000
Sc: 0.093 0.183 0.803
Tm: 0.641 0.924 0.500
Sc: 0.210 0.683 0.803
Y: 0.479 0.085 0.211
Sc: 0.790 0.880 0.197
Tm: 0.000 0.043 0.000
Sc: 0.566 0.409 0.252
Y: 0.769 0.374 0.789
Y: 0.231 0.585 0.211

(3)
Material: Zr2Ti2In7
Method: DFT, GGA-PBE
State: optimized geometry

Summary:
- space-group type = C2/m, No. 12
- volume (A^3/atom) = 23.09
- DFT formation energy (eV per atom) = 0.03
- density of states at the Fermi level (states/eV per atom) = 0.815
- uncorrected energy (eV per formula unit) = -51.72

abc: 7.664 6.129 7.664
angles: 122.54 111.91 57.46
Sites, in units of the cell vectors:
In: 0.900 0.807 0.536
In: 0.464 0.807 0.100
In: 0.000 0.000 0.000
Zr: 0.179 0.500 0.179
In: 0.100 0.193 0.464
In: 0.536 0.193 0.900
In: 0.546 0.669 0.454
Ti: 0.235 0.986 0.765
In: 0.454 0.331 0.546
Ti: 0.765 0.014 0.235
Zr: 0.821 0.500 0.821